(1)
The following is a DFT calculation (PBE-GGA) of a geometry-optimized BaAcGd structure.

## Properties
excess energy over the best structure of this formula in the dataset = 0 meV/atom
crystal system = tetragonal
energy of formation from the pure elements = 0.11 eV/atom
energy = -6.596 eV/atom

Cell lengths 3.9384, 3.9384, 17.2067 Å; angles 90.00, 90.00, 90.00 degrees
Space group I4mm (No. 107)
Asymmetric unit:
Ba: 0.0000 0.0000 0.0000
Ac: 0.0000 0.0000 0.3150
Gd: 0.0000 0.0000 0.6732



(2)
The following is a DFT calculation (PBE-GGA) of a geometry-optimized BaAcGdIn structure.

## Properties
crystal system = cubic
energy of formation from the pure elements = 0.03 eV/atom
energy = -5.678 eV/atom

Cell lengths 8.4010, 8.4010, 8.4010 Å; angles 90.00, 90.00, 90.00 degrees
Space group F-43m (No. 216)
Asymmetric unit:
Ba: 0.0000 0.0000 0.0000
Ac: 0.2500 0.2500 0.2500
Gd: 0.0000 0.0000 0.5000
In: 0.2500 0.2500 0.7500



(3)
The following is a DFT calculation (PBE-GGA) of a geometry-optimized BaAcGdMg structure.

## Properties
crystal system = cubic
energy of formation from the pure elements = 0.19 eV/atom
energy = -5.238 eV/atom

Cell lengths 8.5424, 8.5424, 8.5424 Å; angles 90.00, 90.00, 90.00 degrees
Space group F-43m (No. 216)
Asymmetric unit:
Ba: 0.0000 0.0000 0.0000
Ac: 0.2500 0.2500 0.2500
Gd: 0.0000 0.0000 0.5000
Mg: 0.2500 0.2500 0.7500



(4)
The following is a DFT calculation (PBE-GGA) of a geometry-optimized BaAcGdTl structure.

## Properties
crystal system = cubic
energy of formation from the pure elements = 0.08 eV/atom
energy = -5.536 eV/atom

Cell lengths 8.4425, 8.4425, 8.4425 Å; angles 90.00, 90.00, 90.00 degrees
Space group F-43m (No. 216)
Asymmetric unit:
Ba: 0.0000 0.0000 0.0000
Ac: 0.2500 0.2500 0.7500
Gd: 0.0000 0.0000 0.5000
Tl: 0.2500 0.2500 0.2500



(5)
The following is a DFT calculation (PBE-GGA) of a geometry-optimized BaAc6Ge4 structure.

## Properties
crystal system = hexagonal
energy of formation from the pure elements = -0.47 eV/atom
energy = -4.561 eV/atom

Cell lengths 9.9688, 9.9688, 4.4910 Å; angles 90.00, 90.00, 120.00 degrees
Space group P-6m2 (No. 187)
Asymmetric unit:
Ba: 0.0000 0.0000 0.0000
Ac: 0.1942 0.3884 0.5000
Ac: 0.5403 0.0806 0.0000
Ge: 0.3333 0.6667 0.0000
Ge: 0.3431 0.1716 0.5000



(6)
The following is a DFT calculation (PBE-GGA) of a geometry-optimized Ba3Ac3Ge4 structure.

## Properties
crystal system = orthorhombic
energy of formation from the pure elements = -0.54 eV/atom
energy = -4.194 eV/atom

Cell lengths 4.8020, 11.7710, 12.2012 Å; angles 90.00, 90.00, 90.00 degrees
Space group Amm2 (No. 38)
Asymmetric unit:
Ba: 0.0000 0.0000 0.0000
Ba: 0.5000 0.2372 0.0837
Ac: 0.0000 0.0000 0.6606
Ac: 0.0000 0.1715 0.3391
Ge: 0.5000 0.0000 0.2417
Ge: 0.5000 0.0000 0.4557
Ge: 0.5000 0.1130 0.8215



(7)
The following is a DFT calculation (PBE-GGA) of a geometry-optimized BaAcGe4 structure.

## Properties
crystal system = cubic
energy of formation from the pure elements = -0.37 eV/atom
energy = -4.451 eV/atom

Cell lengths 8.5250, 8.5250, 8.5250 Å; angles 90.00, 90.00, 90.00 degrees
Space group F-43m (No. 216)
Asymmetric unit:
Ba: 0.0000 0.0000 0.0000
Ac: 0.2500 0.2500 0.7500
Ge: 0.1155 0.1155 0.3845



(8)
The following is a DFT calculation (PBE-GGA) of a geometry-optimized BaAc2Ge6 structure.

## Properties
excess energy over the best structure of this formula in the dataset = 45 meV/atom
crystal system = monoclinic
energy of formation from the pure elements = -0.42 eV/atom
energy = -4.621 eV/atom

Cell lengths 13.4689, 9.6558, 4.3756 Å; angles 90.00, 108.63, 90.00 degrees
Space group Cm (No. 8)
Asymmetric unit:
Ba: 0.0000 0.0000 0.0000
Ac: 0.1504 0.5000 0.1492
Ac: 0.3524 0.0000 0.8532
Ge: 0.0015 0.3335 0.5013
Ge: 0.1847 0.2323 0.6830
Ge: 0.3183 0.2679 0.3192



Please write out number 7 again, unchanged.
The following is a DFT calculation (PBE-GGA) of a geometry-optimized BaAcGe4 structure.

## Properties
crystal system = cubic
energy of formation from the pure elements = -0.37 eV/atom
energy = -4.451 eV/atom

Cell lengths 8.5250, 8.5250, 8.5250 Å; angles 90.00, 90.00, 90.00 degrees
Space group F-43m (No. 216)
Asymmetric unit:
Ba: 0.0000 0.0000 0.0000
Ac: 0.2500 0.2500 0.7500
Ge: 0.1155 0.1155 0.3845